(1)
A geometry-optimized TiZn2SnRh structure. Source: the Alexandria database, functional PBE.

The structure in POSCAR format:
```
TiZn2SnRh
1.0
4.834 0.000 0.000
0.000 4.889 0.000
0.000 0.000 4.834
Rh Zn Sn Ti
1 2 1 1
direct
0.000 0.500 0.000
0.500 0.000 0.000
0.000 0.000 0.500
0.000 0.000 0.000
0.500 0.500 0.500
```

## Properties
formation energy from the elements: 0.951 eV/atom
final energy: -3.409 eV per atom
E above lowest polymorph: 591 meV/atom

---

(2)
A geometry-optimized PmZr3Te6 structure. Source: the Alexandria database, functional PBE.

The structure in POSCAR format:
```
PmZr3Te6
1.0
4.067 0.000 0.000
0.000 11.970 -0.044
0.000 -4.042 11.858
Te Pm Zr
12 2 6
direct
0.250 0.514 0.376
0.750 0.486 0.624
0.750 0.889 0.095
0.250 0.193 0.246
0.250 0.279 0.720
0.750 0.807 0.754
0.250 0.111 0.905
0.750 0.721 0.280
0.250 0.873 0.528
0.750 0.375 0.072
0.250 0.625 0.928
0.750 0.127 0.472
0.750 0.052 0.702
0.250 0.948 0.298
0.750 0.120 0.071
0.750 0.680 0.513
0.750 0.444 0.868
0.250 0.320 0.487
0.250 0.880 0.929
0.250 0.556 0.132
```

## Properties
formation energy without anion corrections: -91.66 kJ/mol of atoms
final energy: -5.875 eV per atom

---

(3)
A geometry-optimized La8Nd3Ho3 structure. Source: the Alexandria database, functional PBE.

The structure in POSCAR format:
```
La8Nd3Ho3
1.0
5.679 0.000 1.141
2.802 9.514 0.756
1.080 -3.293 9.323
La Ho Nd
8 3 3
direct
0.341 0.433 0.884
0.341 0.884 0.433
0.837 0.558 0.768
0.659 0.567 0.116
0.837 0.768 0.558
0.659 0.116 0.567
0.163 0.442 0.232
0.163 0.232 0.442
0.500 0.500 0.500
0.801 0.199 0.199
0.199 0.801 0.801
0.000 0.177 0.823
0.500 0.000 0.000
0.000 0.823 0.177
```

## Properties
formation energy from the elements: 0.089 eV/atom
final energy: -4.730 eV per atom

---

(4)
A geometry-optimized Na2SrCa structure. Source: the Alexandria database, functional PBE.

The structure in POSCAR format:
```
Na2SrCa
1.0
4.014 0.000 0.000
2.007 3.476 0.000
2.007 1.159 12.683
Na Ca Sr
2 1 1
direct
0.081 0.081 0.758
0.253 0.253 0.242
0.666 0.666 0.001
0.500 0.500 0.499
```

## Properties
formation energy from the elements: 0.087 eV/atom
final energy: -1.493 eV per atom
E above lowest polymorph: 39 meV/atom

---

(5)
A geometry-optimized Li3Sn5Au12 structure. Source: the Alexandria database, functional PBE.

The structure in POSCAR format:
```
Li3Sn5Au12
1.0
13.687 0.000 0.000
-4.562 12.904 0.000
-4.562 -6.452 11.176
Sn Li Au
20 12 48
direct
0.000 0.500 0.500
0.000 0.000 0.500
0.125 0.750 0.375
0.500 0.000 0.000
0.750 0.125 0.875
0.500 0.500 0.000
0.000 0.000 0.000
0.250 0.875 0.125
0.625 0.750 0.875
0.875 0.250 0.625
0.875 0.625 0.750
0.000 0.500 0.000
0.250 0.375 0.625
0.625 0.875 0.250
0.500 0.500 0.500
0.125 0.375 0.250
0.375 0.125 0.750
0.750 0.625 0.375
0.375 0.250 0.125
0.500 0.000 0.500
0.250 0.125 0.375
0.875 0.750 0.125
0.625 0.250 0.375
0.875 0.125 0.250
0.250 0.625 0.875
0.750 0.375 0.125
0.125 0.875 0.750
0.125 0.250 0.875
0.750 0.875 0.625
0.375 0.625 0.250
0.625 0.375 0.750
0.375 0.750 0.625
0.077 0.917 0.148
0.423 0.071 0.340
0.148 0.417 0.077
0.731 0.583 0.160
0.231 0.571 0.648
0.660 0.231 0.583
0.731 0.148 0.071
0.352 0.929 0.769
0.083 0.160 0.231
0.583 0.852 0.423
0.571 0.340 0.923
0.648 0.071 0.231
0.917 0.077 0.648
0.852 0.269 0.429
0.917 0.840 0.769
0.923 0.083 0.852
0.077 0.160 0.429
0.071 0.648 0.731
0.840 0.917 0.269
0.269 0.852 0.929
0.929 0.352 0.269
0.571 0.231 0.148
0.083 0.923 0.352
0.577 0.648 0.417
0.923 0.840 0.571
0.340 0.571 0.423
0.148 0.731 0.571
0.852 0.583 0.923
0.160 0.077 0.929
0.429 0.660 0.077
0.660 0.429 0.577
0.429 0.769 0.852
0.417 0.148 0.577
0.929 0.577 0.160
0.840 0.923 0.071
0.340 0.769 0.417
0.071 0.423 0.840
0.583 0.731 0.660
0.577 0.929 0.660
0.160 0.083 0.731
0.269 0.417 0.840
0.423 0.352 0.583
0.769 0.340 0.917
0.352 0.423 0.083
0.417 0.269 0.340
0.231 0.660 0.083
0.648 0.577 0.917
0.769 0.429 0.352
```

## Properties
formation energy from the elements: -0.085 eV/atom
final energy: -3.339 eV per atom

---

(6)
A geometry-optimized PmGaCuPd structure. Source: the Alexandria database, functional PBE.

The structure in POSCAR format:
```
PmGaCuPd
1.0
4.732 0.000 0.000
2.366 4.098 0.000
2.366 1.366 3.863
Ga Pd Pm Cu
1 1 1 1
direct
0.250 0.250 0.250
0.000 0.000 0.000
0.750 0.750 0.750
0.500 0.500 0.500
```

## Properties
formation energy from the elements: -0.464 eV/atom
final energy: -4.730 eV per atom
E above lowest polymorph: 95 meV/atom

---

(7)
A geometry-optimized ZnCuSn3 structure. Source: the Alexandria database, functional PBE.

The structure in POSCAR format:
```
ZnCuSn3
1.0
5.110 0.000 0.000
0.000 5.110 0.000
0.000 0.000 5.110
Sn Cu Zn
3 1 1
direct
0.000 0.500 0.000
0.000 0.000 0.500
0.500 0.000 0.000
0.000 0.000 0.000
0.500 0.500 0.500
```

## Properties
formation energy from the elements: 0.352 eV/atom
final energy: -3.124 eV per atom
E above lowest polymorph: 0 meV/atom

---

(8)
A geometry-optimized La3Sm3Co2 structure. Source: the Alexandria database, functional PBE.

The structure in POSCAR format:
```
La3Sm3Co2
1.0
3.714 0.000 0.000
-1.857 6.857 0.000
0.000 0.000 18.909
Sm La Co
6 6 4
direct
0.932 0.864 0.415
0.068 0.136 0.585
0.932 0.864 0.085
0.068 0.136 0.915
0.269 0.538 0.750
0.731 0.462 0.250
0.452 0.904 0.250
0.321 0.642 0.929
0.548 0.096 0.750
0.679 0.358 0.071
0.679 0.358 0.429
0.321 0.642 0.571
0.694 0.388 0.859
0.306 0.612 0.141
0.694 0.388 0.641
0.306 0.612 0.359
```

## Properties
formation energy from the elements: -0.002 eV/atom
final energy: -5.396 eV per atom

---

(9)
A geometry-optimized Hf2GaBiRh structure. Source: the Alexandria database, functional PBE.

The structure in POSCAR format:
```
Hf2GaBiRh
1.0
-3.421 -4.061 0.782
3.850 -3.228 0.083
0.435 0.656 5.309
Ga Rh Hf Bi
1 1 2 1
direct
0.000 0.500 0.000
0.500 0.500 0.500
0.500 0.000 0.000
0.000 0.000 0.500
0.000 0.000 0.000
```

## Properties
formation energy from the elements: 1.583 eV/atom
final energy: -5.250 eV per atom

---

(10)
A geometry-optimized Nd2GeAsPt6 structure. Source: the Alexandria database, functional PBE.

The structure in POSCAR format:
```
Nd2GeAsPt6
1.0
-0.667 -5.484 -0.718
1.427 0.936 -8.473
8.307 -1.176 1.269
As Pt Nd Ge
2 12 4 2
direct
0.500 0.267 0.000
0.000 0.733 0.500
0.749 0.988 0.000
0.751 0.500 0.000
0.500 0.114 0.246
0.751 0.012 0.500
0.000 0.886 0.746
0.749 0.500 0.500
0.249 0.500 0.000
0.249 0.012 0.500
0.500 0.114 0.754
0.000 0.886 0.254
0.251 0.500 0.500
0.251 0.988 0.000
0.000 0.268 0.253
0.000 0.268 0.747
0.500 0.732 0.247
0.500 0.732 0.753
0.000 0.734 0.000
0.500 0.266 0.500
```

## Properties
formation energy from the elements: -0.854 eV/atom
final energy: -6.359 eV per atom

---

(11)
A geometry-optimized Pm12Pt5N2 structure. Source: the Alexandria database, functional PBE.

The structure in POSCAR format:
```
Pm12Pt5N2
1.0
7.358 0.000 0.000
-3.679 8.086 0.158
0.000 -2.666 8.658
Pm Pt N
12 5 2
direct
0.006 0.012 0.820
0.089 0.675 0.910
0.994 0.988 0.180
0.605 0.703 0.434
0.911 0.325 0.090
0.499 0.999 0.196
0.902 0.297 0.566
0.586 0.675 0.910
0.395 0.297 0.566
0.098 0.703 0.434
0.414 0.325 0.090
0.501 0.001 0.804
0.000 0.000 0.500
0.304 0.608 0.647
0.684 0.369 0.837
0.316 0.631 0.163
0.696 0.392 0.353
0.265 0.000 0.000
0.735 0.000 0.000
```

## Properties
formation energy without anion corrections: -84.60 kJ/mol of atoms
final energy: -6.343 eV per atom

---

(12)
A geometry-optimized Tm4Ge2I5 structure. Source: the Alexandria database, functional PBE.

The structure in POSCAR format:
```
Tm4Ge2I5
1.0
4.132 0.000 0.000
0.000 8.193 1.047
-2.066 -1.120 11.451
Tm I Ge
4 5 2
direct
0.661 0.565 0.323
0.980 0.302 0.959
0.020 0.698 0.041
0.339 0.435 0.677
0.793 0.681 0.587
0.500 0.000 0.000
0.207 0.319 0.413
0.146 0.832 0.292
0.854 0.168 0.708
0.448 0.544 0.895
0.552 0.456 0.105
```

## Properties
formation energy without anion corrections: -92.96 kJ/mol of atoms
final energy: -4.134 eV per atom

---

| no. | Fermi-level density of states (states/eV per atom) |
| --- | --- |
| 1 | 1.023 |
| 2 | 0.781 |
| 3 | 1.414 |
| 4 | 0.897 |
| 5 | 0.402 |
| 6 | 0.857 |
| 7 | 0.781 |
| 8 | 1.301 |
| 9 | 0.975 |
| 10 | 0.325 |
| 11 | 0.912 |
| 12 | 0.421 |